Here is a geometry-optimized Pa2AgBi structure from Alexandria. Energies are from PBE-GGA.

Results
Energy relative to the lowest polymorph listed for this composition = 0 meV per atom
Crystal system = tetragonal
E_form = 8.0 kJ per mole of atoms
Volume = 97.96 Å³/cell

Cell lengths 4.4083, 4.4083, 5.0407 Å; angles 90.00, 90.00, 90.00 degrees
Space group P4/mmm (No. 123)
Symmetry-distinct sites (fractional):
Pa: 0.0000 0.5000 0.0000
Ag: 0.0000 0.0000 0.5000
Bi: 0.5000 0.5000 0.5000

Here is a geometry-optimized Pa3AgBi4 structure from Alexandria. Energies are from PBE-GGA.

Results
Crystal system = orthorhombic
E_form = 16.1 kJ per mole of atoms
Volume = 468.01 Å³/cell

Cell lengths 6.3974, 11.4911, 6.3663 Å; angles 90.00, 90.00, 90.00 degrees
Space group Pmn2_1 (No. 31)
Symmetry-distinct sites (fractional):
Pa: 0.0000 0.1215 0.0000
Pa: 0.2238 0.3514 0.5579
Ag: 0.0000 0.8558 0.7642
Bi: 0.0000 0.0983 0.5012
Bi: 0.0000 0.8567 0.2482
Bi: 0.2456 0.3699 0.0614

Here is a geometry-optimized PaAgBiPd structure from Alexandria. Energies are from PBE-GGA.

Results
Crystal system = cubic
E_form = -15.4 kJ per mole of atoms
Volume = 357.13 Å³/cell

Cell lengths 7.0948, 7.0948, 7.0948 Å; angles 90.00, 90.00, 90.00 degrees
Space group F-43m (No. 216)
Symmetry-distinct sites (fractional):
Pa: 0.0000 0.0000 0.0000
Ag: 0.2500 0.2500 0.2500
Bi: 0.0000 0.0000 0.5000
Pd: 0.2500 0.2500 0.7500

Here is a geometry-optimized PaAgBiPt structure from Alexandria. Energies are from PBE-GGA.

Results
Crystal system = cubic
E_form = -26.0 kJ per mole of atoms
Volume = 357.16 Å³/cell

Cell lengths 7.0950, 7.0950, 7.0950 Å; angles 90.00, 90.00, 90.00 degrees
Space group F-43m (No. 216)
Symmetry-distinct sites (fractional):
Pa: 0.0000 0.0000 0.0000
Ag: 0.2500 0.2500 0.7500
Bi: 0.0000 0.0000 0.5000
Pt: 0.2500 0.2500 0.2500

Here is a geometry-optimized ThPaAgBi structure from Alexandria. Energies are from PBE-GGA.

Results
Crystal system = cubic
E_form = 5.1 kJ per mole of atoms
Volume = 442.07 Å³/cell

Cell lengths 7.6178, 7.6178, 7.6178 Å; angles 90.00, 90.00, 90.00 degrees
Space group F-43m (No. 216)
Symmetry-distinct sites (fractional):
Th: 0.0000 0.0000 0.0000
Pa: 0.0000 0.0000 0.5000
Ag: 0.2500 0.2500 0.2500
Bi: 0.2500 0.2500 0.7500

Here is a geometry-optimized AgBiPb3 structure from Alexandria. Energies are from PBE-GGA.

Results
Energy relative to the lowest polymorph listed for this composition = 267 meV per atom
Crystal system = cubic
E_form = 31.1 kJ per mole of atoms
Volume = 168.17 Å³/cell

Cell lengths 5.5197, 5.5197, 5.5197 Å; angles 90.00, 90.00, 90.00 degrees
Space group Pm-3m (No. 221)
Symmetry-distinct sites (fractional):
Ag: 0.0000 0.0000 0.0000
Bi: 0.5000 0.5000 0.5000
Pb: 0.0000 0.0000 0.5000

Here is a geometry-optimized AgBi6Pb5 structure from Alexandria. Energies are from PBE-GGA.

Results
Crystal system = triclinic
E_form = 5.8 kJ per mole of atoms
Volume = 385.77 Å³/cell

Cell lengths 6.7289, 7.2886, 8.9116 Å; angles 109.90, 106.51, 94.97 degrees
Space group P-1 (No. 2)
Symmetry-distinct sites (fractional):
Ag: 0.0000 0.0000 0.0000
Bi: 0.1413 0.6175 0.9254
Bi: 0.1592 0.0720 0.3954
Bi: 0.4879 0.2189 0.2410
Pb: 0.0000 0.5000 0.5000
Pb: 0.3084 0.1950 0.8506
Pb: 0.3499 0.6554 0.3292

Here is a geometry-optimized Ag4BiPb structure from Alexandria. Energies are from PBE-GGA.

Results
Crystal system = cubic
E_form = 2.0 kJ per mole of atoms
Volume = 534.46 Å³/cell

Cell lengths 8.1153, 8.1153, 8.1153 Å; angles 90.00, 90.00, 90.00 degrees
Space group F-43m (No. 216)
Symmetry-distinct sites (fractional):
Ag: 0.1251 0.1251 0.1251
Bi: 0.0000 0.0000 0.5000
Pb: 0.2500 0.2500 0.7500

> Which of these has the highest E_form?

AgBiPb3